Entry 1:
# Ho4AgTe3

An optimized crystal structure of Ho4AgTe3 (PBE-GGA, Alexandria).

a b c (Å): 4.188 7.557 7.557
angles (deg): 108.07 90.00 90.00
Atoms (fractional coordinates):
Ho: 0.500 0.243 0.757
Ho: 0.000 0.233 0.233
Ag: 0.500 0.000 0.000
Te: 0.000 0.000 0.500
Ho: 0.500 0.757 0.243
Ho: 0.000 0.767 0.767
Te: 0.000 0.500 0.000
Te: 0.500 0.500 0.500

Values from the calculation:
For the mass density, the calculation gives 8.4 g/cm³. The calculation puts the raw formation energy at -0.999 eV/atom. For the volume, the calculation gives 227 Å³/f.u. The value obtained for the total energy is -4.823 eV per atom.

Entry 2:
# Ho7Ag2Te2

An optimized crystal structure of Ho7Ag2Te2 (PBE-GGA, Alexandria).

a b c (Å): 4.078 9.402 9.402
angles (deg): 61.94 77.47 77.47
Atoms (fractional coordinates):
Ho: 0.624 0.483 0.268
Ho: 0.861 0.403 0.876
Ho: 0.500 0.018 0.982
Ho: 0.184 0.712 0.921
Te: 0.500 0.358 0.642
Ag: 0.736 0.859 0.670
Ho: 0.376 0.732 0.517
Te: 0.000 0.757 0.243
Ho: 0.816 0.079 0.288
Ag: 0.264 0.330 0.141
Ho: 0.139 0.124 0.597

Values from the calculation:
For the mass density, the calculation gives 8.8 g/cm³. The calculation puts the raw formation energy at -0.576 eV/atom. For the volume, the calculation gives 308 Å³/f.u. The value obtained for the total energy is -4.579 eV per atom.

Entry 3:
# HoAg3Te3

An optimized crystal structure of HoAg3Te3 (PBE-GGA, Alexandria).

a b c (Å): 7.849 7.849 8.620
angles (deg): 62.92 62.92 60.00
Atoms (fractional coordinates):
Te: 0.396 0.074 0.781
Te: 0.926 0.251 0.219
Ho: 0.668 0.668 0.996
Te: 0.074 0.749 0.781
Ag: 0.877 0.511 0.388
Ag: 0.224 0.877 0.388
Ho: 0.332 0.332 0.004
Ag: 0.123 0.489 0.612
Te: 0.251 0.604 0.219
Te: 0.749 0.396 0.781
Ag: 0.511 0.224 0.388
Te: 0.604 0.926 0.219
Ag: 0.489 0.776 0.612
Ag: 0.776 0.123 0.612

Values from the calculation:
For the mass density, the calculation gives 7.4 g/cm³. The calculation puts the raw formation energy at -0.538 eV/atom. For the volume, the calculation gives 196 Å³/f.u. The value obtained for the total energy is -3.760 eV per atom.

Entry 4:
# HoAg2Te3

An optimized crystal structure of HoAg2Te3 (PBE-GGA, Alexandria).

a b c (Å): 4.277 7.758 11.239
angles (deg): 94.63 100.97 90.00
Atoms (fractional coordinates):
Ag: 0.294 0.559 0.588
Ag: 0.706 0.441 0.412
Te: 0.087 0.826 0.175
Ho: 0.651 0.048 0.302
Te: 0.581 0.373 0.161
Ho: 0.349 0.952 0.698
Ag: 0.042 0.159 0.085
Te: 0.913 0.174 0.825
Ag: 0.958 0.841 0.915
Te: 0.755 0.789 0.509
Te: 0.419 0.627 0.839
Te: 0.245 0.211 0.491

Values from the calculation:
For the mass density, the calculation gives 6.9 g/cm³. The calculation puts the raw formation energy at -0.577 eV/atom. For the volume, the calculation gives 182 Å³/f.u. The value obtained for the total energy is -3.861 eV per atom.

> Which value of raw formation energy does entry 2 give?

-0.576 eV/atom

> Among the records above, which one has the lowest mass density?

HoAg2Te3